Computed, not measured: an optimized crystal structure of HfMg2Pa at the GGA-PBE level of DFT.

Unit cell a=3.1463 b=3.1463 c=11.0570 alpha=81.82 beta=81.82 gamma=60.00
Sites, in units of the cell vectors:
Mg  0.4223  0.4223  0.7332
Pa  0.0007  0.0007  0.9980
Hf  0.2514  0.2514  0.2458
Mg  0.8367  0.8367  0.4900

Summary:
- Space group: R3m
- Calculated total energy: -5.588 eV/atom
- Calculated formation energy: 0.29 eV/f.u.